A plane-wave DFT calculation with PBE was carried out for a relaxed BaTaN3 crystal.

raw formation energy	-0.832	eV/atom

Cell lengths 13.7256, 4.0955, 6.7486 Å; angles 90.00, 107.86, 90.00 degrees
Last column: nearest neighbours and their distance in Å.
Space group C2/m (No. 12)
Asymmetric unit:
1 Ba 0.1171 0.0000 0.3392 x4  4 N 2.64-2.92
2 Ta 0.1720 0.5000 0.8791 x4  2 N 1.86-2.03
3 N 0.0354 0.5000 0.9628 x4  1 N 1.22
4 N 0.1631 0.5000 0.5983 x4  1 Ta 1.86
5 N 0.1760 0.0000 0.9645 x4  3 Ta 2.03-2.12